(1)
Here is MgOsBr2 after structural relaxation from Alexandria. Energies are from PBE.

Cell lengths 3.3819, 3.3819, 32.8633 Å; angles 90.00, 90.00, 120.00 degrees
Fractional positions:
Mg (0.0000, 0.0000, 0.0000)
Mg (0.3333, 0.6667, 0.6667)
Mg (0.6667, 0.3333, 0.3333)
Os (0.0000, 0.0000, 0.5000)
Os (0.3333, 0.6667, 0.1667)
Os (0.6667, 0.3333, 0.8333)
Br (0.0000, 0.0000, 0.2822)
Br (0.0000, 0.0000, 0.7178)
Br (0.3333, 0.6667, 0.3845)
Br (0.3333, 0.6667, 0.9488)
Br (0.6667, 0.3333, 0.0512)
Br (0.6667, 0.3333, 0.6155)

Results
- Excess energy over the best structure of this formula in the dataset: 0.5312 eV per atom
- Magnetization: 8.71 μB per cell
- Raw formation energy: 530 meV per atom
- SG: R-3m, No. 166
- N(E_F): 0.54 states/eV/atom
- Density: 5.73 g/cm3
- Raw total energy: -42.15 eV per cell

---

(2)
Here is Mg2OsBr after structural relaxation from Alexandria. Energies are from PBE.

Cell lengths 10.5242, 3.0198, 4.9210 Å; angles 90.00, 103.70, 90.00 degrees
Fractional positions:
Mg (0.0000, 0.0000, 0.0000)
Mg (0.1991, 0.0000, 0.6289)
Mg (0.5000, 0.5000, 0.0000)
Mg (0.6991, 0.5000, 0.6289)
Os (0.4707, 0.0000, 0.5143)
Os (0.9707, 0.5000, 0.5143)
Br (0.2736, 0.5000, 0.1843)
Br (0.7736, 0.0000, 0.1843)

Results
- Excess energy over the best structure of this formula in the dataset: 0.2956 eV per atom
- Magnetization: 1.50 μB per cell
- Raw formation energy: 230 meV per atom
- SG: Cm, No. 8
- N(E_F): 0.46 states/eV/atom
- Density: 6.97 g/cm3
- Raw total energy: -30.34 eV per cell

---

(3)
Here is MgOs4Br after structural relaxation from Alexandria. Energies are from PBE.

Cell lengths 5.2742, 5.2742, 5.2742 Å; angles 60.00, 60.00, 60.00 degrees
Fractional positions:
Mg (0.0000, 0.0000, 0.0000)
Os (0.1240, 0.6253, 0.6253)
Os (0.6253, 0.1240, 0.6253)
Os (0.6253, 0.6253, 0.1240)
Os (0.6253, 0.6253, 0.6253)
Br (0.2500, 0.2500, 0.2500)

Results
- Magnetization: 1.90 μB per cell
- Raw formation energy: 1113 meV per atom
- SG: F-43m, No. 216
- N(E_F): 1.60 states/eV/atom
- Density: 13.85 g/cm3
- Raw total energy: -41.51 eV per cell

---

(4)
Here is Mg2OsBr after structural relaxation from Alexandria. Energies are from PBE.

Cell lengths 3.1816, 3.1816, 7.5488 Å; angles 90.00, 90.00, 90.00 degrees
Fractional positions:
Mg (0.0000, 0.0000, 0.2133)
Mg (0.0000, 0.0000, 0.7867)
Os (0.5000, 0.5000, 0.0000)
Br (0.5000, 0.5000, 0.5000)

Results
- Excess energy over the best structure of this formula in the dataset: 0.0439 eV per atom
- Magnetization: 0.30 μB per cell
- Raw formation energy: -21 meV per atom
- SG: P4/mmm, No. 123
- N(E_F): 0.85 states/eV/atom
- Density: 6.93 g/cm3
- Raw total energy: -16.18 eV per cell